Record 1
Here is a relaxed AgRuSe crystal from Alexandria. Energies are from PBE.

The structure in extended XYZ format:
```
3
Lattice="4.146 0.000 0.000 -2.073 3.591 0.000 0.000 0.000 3.560" Properties=species:S:1:pos:R:3 pbc="T T T"
Ag 0.000 0.000 3.560
Ru 2.073 1.197 1.779
Se 0.000 2.394 1.781
```

Results
Formation energy without anion corrections ... 28.98 kJ per mole of atoms
Density of states at the Fermi level ... 1.36 states/eV per cell
Space-group type ... P-6m2 (187)



Record 2
Here is a relaxed CsZrBr2 crystal from Alexandria. Energies are from PBE.

The structure in extended XYZ format:
```
4
Lattice="0.000 3.995 3.995 3.995 0.000 3.995 3.995 3.995 0.000" Properties=species:S:1:pos:R:3 pbc="T T T"
Br 1.998 1.998 1.998
Cs 3.995 3.995 3.995
Br 5.993 5.993 5.993
Zr 0.000 0.000 0.000
```

Results
Formation energy without anion corrections ... -29.14 kJ per mole of atoms
Density of states at the Fermi level ... 2.76 states/eV per cell
Space-group type ... Fm-3m (225)



Record 3
Here is a relaxed Cr2TcP crystal from Alexandria. Energies are from PBE.

The structure in extended XYZ format:
```
4
Lattice="2.375 -3.812 0.000 2.375 3.812 0.000 0.000 0.000 2.766" Properties=species:S:1:pos:R:3 pbc="T T T"
Cr 1.187 -1.906 0.000
Tc 2.375 0.000 1.383
Cr 1.187 1.906 0.000
P 0.000 0.000 1.383
```

Results
Energy of formation from the pure elements ... 0.000 eV per atom
Density of states at the Fermi level ... 4.19 states/eV per cell
Space-group type ... Cmmm (65)



Record 4
Here is a relaxed Eu2BiN crystal from Alexandria. Energies are from PBE.

The structure in extended XYZ format:
```
4
Lattice="-1.712 -3.271 -0.001 1.171 -2.697 2.232 -5.353 0.717 6.730" Properties=species:S:1:pos:R:3 pbc="T T T"
Eu -4.866 -3.705 7.236
N 0.000 0.000 0.000
Bi -2.947 -2.625 4.480
Eu -1.028 -1.546 1.725
```

Results
Formation energy without anion corrections ... -82.67 kJ per mole of atoms
Density of states at the Fermi level ... 12.44 states/eV per cell
Space-group type ... R-3m (166)



Record 5
Here is a relaxed Ir2PtAu crystal from Alexandria. Energies are from PBE.

The structure in extended XYZ format:
```
4
Lattice="-1.516 -2.270 -0.514 1.504 0.213 2.327 -7.495 3.991 4.480" Properties=species:S:1:pos:R:3 pbc="T T T"
Ir -0.053 0.028 0.031
Ir -3.695 1.968 2.208
Pt -1.880 -0.031 2.026
Au -5.627 1.964 4.266
```

Results
Energy of formation from the pure elements ... 0.339 eV per atom
Density of states at the Fermi level ... 6.45 states/eV per cell
Space-group type ... Cmmm (65)



Record 6
Here is a relaxed NaMg2InHg4 crystal from Alexandria. Energies are from PBE.

The structure in extended XYZ format:
```
8
Lattice="-4.493 2.010 1.373 -3.457 -2.884 2.417 0.592 1.957 8.582" Properties=species:S:1:pos:R:3 pbc="T T T"
Hg -6.758 -0.048 6.480
Hg -0.600 1.131 5.892
In -3.679 0.542 6.186
Na 0.000 0.000 0.000
Mg -5.540 0.797 9.230
Hg -4.926 -0.323 3.372
Hg -2.432 1.406 9.000
Mg -1.818 0.286 3.141
```

Results
Energy of formation from the pure elements ... -0.153 eV per atom
Density of states at the Fermi level ... 2.81 states/eV per cell
Space-group type ... R-3m (166)



Record 7
Here is a relaxed Cr2SiRu crystal from Alexandria. Energies are from PBE.

The structure in extended XYZ format:
```
4
Lattice="8.085 -0.035 -0.020 7.642 2.640 -0.020 7.642 1.266 2.317" Properties=species:S:1:pos:R:3 pbc="T T T"
Si 17.470 2.894 1.701
Cr 5.921 0.981 0.577
Cr 23.348 3.867 2.274
Ru 11.685 1.936 1.138
```

Results
Formation energy without anion corrections ... 7.24 kJ per mole of atoms
Density of states at the Fermi level ... 6.66 states/eV per cell
Space-group type ... R3m (160)



Record 8
Here is a relaxed Cs4K5Rb2 crystal from Alexandria. Energies are from PBE.

The structure in extended XYZ format:
```
11
Lattice="4.824 0.000 0.000 0.000 12.196 -2.958 -2.412 -7.212 18.849" Properties=species:S:1:pos:R:3 pbc="T T T"
Cs 2.412 -3.484 16.310
Rb 2.412 4.428 2.019
Rb 0.000 0.556 13.871
K 2.412 0.000 0.000
K 2.412 4.279 11.679
K 0.000 8.282 4.321
Cs 0.000 8.468 -0.419
Cs 2.412 4.574 6.836
Cs 0.000 0.410 9.055
K 2.412 -3.298 11.570
K 0.000 0.705 4.212
```

Results
Energy of formation from the pure elements ... 0.028 eV per atom
Density of states at the Fermi level ... 9.83 states/eV per cell
Space-group type ... C2/m (12)